A relaxed structure of TbScTa. Source: the Alexandria database, functional PBE-GGA.

Computed properties:
Its magnetic moment is 0.0 μB/f.u. The calculation puts the calculated volume at 24.787 Å³ per atom. The calculation puts the total energy at -0.27594 hartree per atom. The density of states at the Fermi level is 7.18 states/eV per cell.

a = 3.4706 Å, b = 3.4706 Å, c = 12.3474 Å
α = 90.00°, β = 90.00°, γ = 90.00°
Sites, in units of the cell vectors:
Tb1 0.2500 0.2500 0.1013
Tb2 0.7500 0.7500 0.8987
Sc1 0.2500 0.2500 0.6973
Sc2 0.7500 0.7500 0.3027
Ta1 0.2500 0.2500 0.4475
Ta2 0.7500 0.7500 0.5525